# 1
A plane-wave DFT calculation with PBE-GGA was carried out for a geometry-optimized Rb2Tl6AgSn structure.

Properties
**Density of states at the Fermi level**: 11.80 states/eV per cell
**Crystal system**: trigonal
**SG**: R-3m (166)

```
data_Rb2Tl6AgSn
_chemical_formula_sum 'Rb4 Tl12 Ag2 Sn2'
_cell_length_a 14.231
_cell_length_b 14.231
_cell_length_c 14.231
_cell_angle_alpha 32.33
_cell_angle_beta 32.33
_cell_angle_gamma 32.33
_space_group_name_H-M_alt 'P 1'
_space_group_IT_number 1
loop_
_space_group_symop_operation_xyz
'x,y,z'
loop_
_atom_site_label
_atom_site_fract_x
_atom_site_fract_y
_atom_site_fract_z
Rb1 0.104 0.104 0.104
Rb2 0.278 0.278 0.278
Rb3 0.722 0.722 0.722
Rb4 0.896 0.896 0.896
Tl1 0.082 0.664 0.664
Tl2 0.222 0.222 0.639
Tl3 0.222 0.639 0.222
Tl4 0.336 0.336 0.918
Tl5 0.336 0.918 0.336
Tl6 0.361 0.778 0.778
Tl7 0.639 0.222 0.222
Tl8 0.664 0.082 0.664
Tl9 0.664 0.664 0.082
Tl10 0.778 0.361 0.778
Tl11 0.778 0.778 0.361
Tl12 0.918 0.336 0.336
Ag1 0.000 0.000 0.000
Ag2 0.500 0.500 0.500
Sn1 0.427 0.427 0.427
Sn2 0.573 0.573 0.573
```

# 2
A plane-wave DFT calculation with PBE-GGA was carried out for a geometry-optimized RbAgSnW2 structure.

Properties
**Density of states at the Fermi level**: 6.69 states/eV per cell
**Crystal system**: tetragonal
**SG**: P4/mmm (123)

```
data_RbAgSnW2
_chemical_formula_sum 'Rb1 Ag1 Sn1 W2'
_cell_length_a 5.160
_cell_length_b 5.160
_cell_length_c 5.582
_cell_angle_alpha 90.00
_cell_angle_beta 90.00
_cell_angle_gamma 90.00
_space_group_name_H-M_alt 'P 1'
_space_group_IT_number 1
loop_
_space_group_symop_operation_xyz
'x,y,z'
loop_
_atom_site_label
_atom_site_fract_x
_atom_site_fract_y
_atom_site_fract_z
Rb1 0.000 0.000 0.000
Ag1 0.000 0.000 0.500
Sn1 0.500 0.500 0.000
W1 0.000 0.500 0.500
W2 0.500 0.000 0.500
```

# 3
A plane-wave DFT calculation with PBE-GGA was carried out for a geometry-optimized RbZn2AgSn structure.

Properties
**Density of states at the Fermi level**: 5.61 states/eV per cell
**Crystal system**: tetragonal
**SG**: P4/mmm (123)

```
data_RbZn2AgSn
_chemical_formula_sum 'Rb1 Zn2 Ag1 Sn1'
_cell_length_a 5.865
_cell_length_b 5.865
_cell_length_c 5.916
_cell_angle_alpha 90.00
_cell_angle_beta 90.00
_cell_angle_gamma 90.00
_space_group_name_H-M_alt 'P 1'
_space_group_IT_number 1
loop_
_space_group_symop_operation_xyz
'x,y,z'
loop_
_atom_site_label
_atom_site_fract_x
_atom_site_fract_y
_atom_site_fract_z
Rb1 0.000 0.000 0.000
Zn1 0.000 0.500 0.000
Zn2 0.500 0.000 0.000
Ag1 0.000 0.000 0.500
Sn1 0.500 0.500 0.500
```

# 4
A plane-wave DFT calculation with PBE-GGA was carried out for a geometry-optimized RbSr2Ag2 structure.

Properties
**Density of states at the Fermi level**: 9.53 states/eV per cell
**Crystal system**: tetragonal
**Polymorph energy (0 for the lowest one)**: 77 meV per atom
**SG**: P4/mbm (127)

```
data_RbSr2Ag2
_chemical_formula_sum 'Rb2 Sr4 Ag4'
_cell_length_a 9.737
_cell_length_b 9.737
_cell_length_c 3.885
_cell_angle_alpha 90.00
_cell_angle_beta 90.00
_cell_angle_gamma 90.00
_space_group_name_H-M_alt 'P 1'
_space_group_IT_number 1
loop_
_space_group_symop_operation_xyz
'x,y,z'
loop_
_atom_site_label
_atom_site_fract_x
_atom_site_fract_y
_atom_site_fract_z
Rb1 0.000 0.000 0.000
Rb2 0.500 0.500 0.000
Sr1 0.136 0.364 0.000
Sr2 0.364 0.864 0.000
Sr3 0.636 0.136 0.000
Sr4 0.864 0.636 0.000
Ag1 0.153 0.653 0.500
Ag2 0.347 0.153 0.500
Ag3 0.653 0.847 0.500
Ag4 0.847 0.347 0.500
```

# 5
A plane-wave DFT calculation with PBE-GGA was carried out for a geometry-optimized RbSr3Ag structure.

Properties
**Density of states at the Fermi level**: 2.75 states/eV per cell
**Crystal system**: cubic
**Polymorph energy (0 for the lowest one)**: 1044 meV per atom
**SG**: Pm-3m (221)

```
data_RbSr3Ag
_chemical_formula_sum 'Rb1 Sr3 Ag1'
_cell_length_a 7.384
_cell_length_b 7.384
_cell_length_c 7.384
_cell_angle_alpha 90.00
_cell_angle_beta 90.00
_cell_angle_gamma 90.00
_space_group_name_H-M_alt 'P 1'
_space_group_IT_number 1
loop_
_space_group_symop_operation_xyz
'x,y,z'
loop_
_atom_site_label
_atom_site_fract_x
_atom_site_fract_y
_atom_site_fract_z
Rb1 0.000 0.000 0.000
Sr1 0.000 0.000 0.500
Sr2 0.000 0.500 0.000
Sr3 0.500 0.000 0.000
Ag1 0.500 0.500 0.500
```

# 6
A plane-wave DFT calculation with PBE-GGA was carried out for a geometry-optimized RbSr2Ag structure.

Properties
**Density of states at the Fermi level**: 4.49 states/eV per cell
**Crystal system**: cubic
**Polymorph energy (0 for the lowest one)**: 252 meV per atom
**SG**: Fm-3m (225)

```
data_RbSr2Ag
_chemical_formula_sum 'Rb1 Sr2 Ag1'
_cell_length_a 6.219
_cell_length_b 6.219
_cell_length_c 6.219
_cell_angle_alpha 60.00
_cell_angle_beta 60.00
_cell_angle_gamma 60.00
_space_group_name_H-M_alt 'P 1'
_space_group_IT_number 1
loop_
_space_group_symop_operation_xyz
'x,y,z'
loop_
_atom_site_label
_atom_site_fract_x
_atom_site_fract_y
_atom_site_fract_z
Rb1 0.000 0.000 0.000
Sr1 0.250 0.250 0.250
Sr2 0.750 0.750 0.750
Ag1 0.500 0.500 0.500
```

# 7
A plane-wave DFT calculation with PBE-GGA was carried out for a geometry-optimized Rb3SrAg structure.

Properties
**Density of states at the Fermi level**: 5.59 states/eV per cell
**Crystal system**: cubic
**Polymorph energy (0 for the lowest one)**: 0 meV per atom
**SG**: Pm-3m (221)

```
data_Rb3SrAg
_chemical_formula_sum 'Rb3 Sr1 Ag1'
_cell_length_a 7.004
_cell_length_b 7.004
_cell_length_c 7.004
_cell_angle_alpha 90.00
_cell_angle_beta 90.00
_cell_angle_gamma 90.00
_space_group_name_H-M_alt 'P 1'
_space_group_IT_number 1
loop_
_space_group_symop_operation_xyz
'x,y,z'
loop_
_atom_site_label
_atom_site_fract_x
_atom_site_fract_y
_atom_site_fract_z
Rb1 0.000 0.000 0.500
Rb2 0.000 0.500 0.000
Rb3 0.500 0.000 0.000
Sr1 0.500 0.500 0.500
Ag1 0.000 0.000 0.000
```

# 8
A plane-wave DFT calculation with PBE-GGA was carried out for a geometry-optimized RbSr2Ag structure.

Properties
**Density of states at the Fermi level**: 3.24 states/eV per cell
**Crystal system**: tetragonal
**Polymorph energy (0 for the lowest one)**: 10 meV per atom
**SG**: P4/mmm (123)

```
data_RbSr2Ag
_chemical_formula_sum 'Rb1 Sr2 Ag1'
_cell_length_a 4.080
_cell_length_b 4.080
_cell_length_c 11.253
_cell_angle_alpha 90.00
_cell_angle_beta 90.00
_cell_angle_gamma 90.00
_space_group_name_H-M_alt 'P 1'
_space_group_IT_number 1
loop_
_space_group_symop_operation_xyz
'x,y,z'
loop_
_atom_site_label
_atom_site_fract_x
_atom_site_fract_y
_atom_site_fract_z
Rb1 0.000 0.000 0.000
Sr1 0.500 0.500 0.335
Sr2 0.500 0.500 0.665
Ag1 0.000 0.000 0.500
```

# 9
A plane-wave DFT calculation with PBE-GGA was carried out for a geometry-optimized Rb3SrAg structure.

Properties
**Density of states at the Fermi level**: 7.43 states/eV per cell
**Crystal system**: cubic
**Polymorph energy (0 for the lowest one)**: 472 meV per atom
**SG**: Pm-3m (221)

```
data_Rb3SrAg
_chemical_formula_sum 'Rb3 Sr1 Ag1'
_cell_length_a 8.149
_cell_length_b 8.149
_cell_length_c 8.149
_cell_angle_alpha 90.00
_cell_angle_beta 90.00
_cell_angle_gamma 90.00
_space_group_name_H-M_alt 'P 1'
_space_group_IT_number 1
loop_
_space_group_symop_operation_xyz
'x,y,z'
loop_
_atom_site_label
_atom_site_fract_x
_atom_site_fract_y
_atom_site_fract_z
Rb1 0.000 0.000 0.500
Rb2 0.000 0.500 0.000
Rb3 0.500 0.000 0.000
Sr1 0.000 0.000 0.000
Ag1 0.500 0.500 0.500
```

# 10
A plane-wave DFT calculation with PBE-GGA was carried out for a geometry-optimized RbSr2Ag9 structure.

Properties
**Density of states at the Fermi level**: 7.47 states/eV per cell
**Crystal system**: trigonal
**SG**: R-3m (166)

```
data_RbSr2Ag9
_chemical_formula_sum 'Rb1 Sr2 Ag9'
_cell_length_a 10.027
_cell_length_b 10.027
_cell_length_c 10.027
_cell_angle_alpha 34.50
_cell_angle_beta 34.50
_cell_angle_gamma 34.50
_space_group_name_H-M_alt 'P 1'
_space_group_IT_number 1
loop_
_space_group_symop_operation_xyz
'x,y,z'
loop_
_atom_site_label
_atom_site_fract_x
_atom_site_fract_y
_atom_site_fract_z
Rb1 0.000 0.000 0.000
Sr1 0.140 0.140 0.140
Sr2 0.860 0.860 0.860
Ag1 0.081 0.585 0.585
Ag2 0.333 0.333 0.333
Ag3 0.415 0.415 0.919
Ag4 0.415 0.919 0.415
Ag5 0.500 0.500 0.500
Ag6 0.585 0.081 0.585
Ag7 0.585 0.585 0.081
Ag8 0.667 0.667 0.667
Ag9 0.919 0.415 0.415
```

no.,E_form (meV/atom),M_tot (μB/f.u.)
1,13,0.0
2,2367,5.2
3,1081,0.0
4,-35,0.0
5,992,0.0
6,173,0.0
7,191,0.0
8,-68,0.0
9,663,0.0
10,-98,0.0